[1]
The following is a GGA-PBE calculation of crystalline PrRuO5 at its relaxed geometry, from Alexandria.

Geometry as CIF:
```
data_PrRuO5
_chemical_formula_sum 'Pr2 Ru2 O10'
_cell_length_a 4.433
_cell_length_b 7.816
_cell_length_c 7.816
_cell_angle_alpha 90.00
_cell_angle_beta 90.00
_cell_angle_gamma 90.00
_symmetry_space_group_name_H-M 'P 1'
_symmetry_Int_Tables_number 1
loop_
_symmetry_equiv_pos_as_xyz
'x,y,z'
loop_
_atom_site_label
_atom_site_type_symbol
_atom_site_fract_x
_atom_site_fract_y
_atom_site_fract_z
_atom_site_occupancy
O1 O 0.247 0.000 0.500 1
O2 O 0.731 0.317 0.500 1
O3 O 0.269 0.183 0.000 1
O4 O 0.269 0.500 0.683 1
O5 O 0.731 0.000 0.183 1
O6 O 0.753 0.500 0.000 1
O7 O 0.269 0.500 0.317 1
O8 O 0.269 0.817 0.000 1
O9 O 0.731 0.683 0.500 1
O10 O 0.731 0.000 0.817 1
Ru1 Ru 0.500 0.000 0.000 1
Ru2 Ru 0.500 0.500 0.500 1
Pr1 Pr 0.250 0.500 0.000 1
Pr2 Pr 0.750 0.000 0.500 1
```

Calculated values
Space-group type: P4/nmm, No. 129
Crystal system: tetragonal
Calculated total energy: -7.0499 eV per atom
E_form (uncorrected): -1.50 eV/atom


[2]
The following is a GGA-PBE calculation of crystalline Pr6RuO12 at its relaxed geometry, from Alexandria.

Geometry as CIF:
```
data_Pr6RuO12
_chemical_formula_sum 'Pr6 Ru1 O12'
_cell_length_a 6.772
_cell_length_b 6.772
_cell_length_c 6.772
_cell_angle_alpha 98.42
_cell_angle_beta 98.42
_cell_angle_gamma 98.42
_symmetry_space_group_name_H-M 'P 1'
_symmetry_Int_Tables_number 1
loop_
_symmetry_equiv_pos_as_xyz
'x,y,z'
loop_
_atom_site_label
_atom_site_type_symbol
_atom_site_fract_x
_atom_site_fract_y
_atom_site_fract_z
_atom_site_occupancy
Pr1 Pr 0.144 0.612 0.307 1
Pr2 Pr 0.693 0.856 0.388 1
Pr3 Pr 0.612 0.307 0.144 1
Pr4 Pr 0.856 0.388 0.693 1
Pr5 Pr 0.388 0.693 0.856 1
Pr6 Pr 0.307 0.144 0.612 1
O1 O 0.177 0.442 0.593 1
O2 O 0.823 0.558 0.407 1
O3 O 0.407 0.823 0.558 1
O4 O 0.067 0.968 0.287 1
O5 O 0.287 0.067 0.968 1
O6 O 0.593 0.177 0.442 1
O7 O 0.442 0.593 0.177 1
O8 O 0.933 0.032 0.713 1
O9 O 0.558 0.407 0.823 1
O10 O 0.713 0.933 0.032 1
O11 O 0.032 0.713 0.933 1
O12 O 0.968 0.287 0.067 1
Ru1 Ru 0.000 0.000 0.000 1
```

Calculated values
Space-group type: R-3, No. 148
Crystal system: trigonal
Calculated total energy: -7.9363 eV per atom
E_form (uncorrected): -2.81 eV/atom


[3]
The following is a GGA-PBE calculation of crystalline Pr2RuO6 at its relaxed geometry, from Alexandria.

Geometry as CIF:
```
data_Pr2RuO6
_chemical_formula_sum 'Pr4 Ru2 O12'
_cell_length_a 5.515
_cell_length_b 6.276
_cell_length_c 7.541
_cell_angle_alpha 90.00
_cell_angle_beta 95.86
_cell_angle_gamma 90.00
_symmetry_space_group_name_H-M 'P 1'
_symmetry_Int_Tables_number 1
loop_
_symmetry_equiv_pos_as_xyz
'x,y,z'
loop_
_atom_site_label
_atom_site_type_symbol
_atom_site_fract_x
_atom_site_fract_y
_atom_site_fract_z
_atom_site_occupancy
O1 O 0.367 0.547 0.759 1
O2 O 0.799 0.651 0.948 1
O3 O 0.701 0.151 0.552 1
O4 O 0.299 0.849 0.448 1
O5 O 0.133 0.047 0.741 1
O6 O 0.632 0.227 0.934 1
O7 O 0.132 0.273 0.434 1
O8 O 0.868 0.727 0.566 1
O9 O 0.368 0.773 0.066 1
O10 O 0.201 0.349 0.052 1
O11 O 0.867 0.953 0.259 1
O12 O 0.633 0.453 0.241 1
Pr1 Pr 0.538 0.903 0.751 1
Pr2 Pr 0.038 0.597 0.251 1
Pr3 Pr 0.962 0.403 0.749 1
Pr4 Pr 0.462 0.097 0.249 1
Ru1 Ru 0.500 0.500 0.000 1
Ru2 Ru 0.000 0.000 0.500 1
```

Calculated values
Space-group type: P2_1/c, No. 14
ΔE to the lowest computed polymorph: 0 meV/atom
Crystal system: monoclinic
Calculated total energy: -7.6277 eV per atom
E_form (uncorrected): -2.23 eV/atom


[4]
The following is a GGA-PBE calculation of crystalline Pr3RuO7 at its relaxed geometry, from Alexandria.

Geometry as CIF:
```
data_Pr3RuO7
_chemical_formula_sum 'Pr6 Ru2 O14'
_cell_length_a 6.693
_cell_length_b 6.693
_cell_length_c 7.652
_cell_angle_alpha 90.00
_cell_angle_beta 90.00
_cell_angle_gamma 111.73
_symmetry_space_group_name_H-M 'P 1'
_symmetry_Int_Tables_number 1
loop_
_symmetry_equiv_pos_as_xyz
'x,y,z'
loop_
_atom_site_label
_atom_site_type_symbol
_atom_site_fract_x
_atom_site_fract_y
_atom_site_fract_z
_atom_site_occupancy
O1 O 0.190 0.440 0.540 1
O2 O 0.440 0.190 0.540 1
O3 O 0.104 0.841 0.750 1
O4 O 0.841 0.104 0.750 1
O5 O 0.560 0.810 0.460 1
O6 O 0.419 0.419 0.250 1
O7 O 0.190 0.440 0.960 1
O8 O 0.560 0.810 0.040 1
O9 O 0.159 0.896 0.250 1
O10 O 0.440 0.190 0.960 1
O11 O 0.810 0.560 0.460 1
O12 O 0.896 0.159 0.250 1
O13 O 0.810 0.560 0.040 1
O14 O 0.581 0.581 0.750 1
Pr1 Pr 0.000 0.000 0.000 1
Pr2 Pr 0.000 0.000 0.500 1
Pr3 Pr 0.911 0.471 0.750 1
Pr4 Pr 0.089 0.529 0.250 1
Pr5 Pr 0.471 0.911 0.750 1
Pr6 Pr 0.529 0.089 0.250 1
Ru1 Ru 0.500 0.500 0.500 1
Ru2 Ru 0.500 0.500 0.000 1
```

Calculated values
Space-group type: Cmcm, No. 63
Crystal system: orthorhombic
Calculated total energy: -7.9045 eV per atom
E_form (uncorrected): -2.60 eV/atom


Question: What is the formula in the third record?
Answer: Pr2RuO6